Compound: Na5Cd2In4
Source: Alexandria via LeMat-Bulk
Functional: PBE
Structure: optimized geometry

symmetry: Pbam
final energy: -40.37 eV for the cell shown
total magnetic moment: 0.0 μB per formula unit

Lattice parameters (Å, degrees): 5.0434 7.5352 16.0529 90.00 90.00 90.00
Last column: nearest neighbours and their distance in Å.
Positions (direct):
Na1 0.0000 0.8907 0.0854  2 Cd 3.17, 3 Na 3.20-3.49, 6 In 3.37-3.52
Na2 0.0000 0.2862 0.1984  4 Cd 3.33-3.45, 3 Na 3.49-3.57, 4 In 3.56-3.61
In1 0.5000 0.9083 0.6263  2 Cd 2.95-3.10, 2 In 3.16-3.17
Na3 0.0000 0.5000 0.0000  4 Na 3.25-3.57, 8 In 3.31-3.44
Na4 0.0000 0.7138 0.8016  4 Cd 3.33-3.45, 3 Na 3.49-3.57, 4 In 3.56-3.61
In2 0.5000 0.2934 0.5464  1 Cd 3.01, 2 In 3.16-3.17
In3 0.5000 0.7934 0.9536  1 Cd 3.01, 2 In 3.16-3.17
In4 0.5000 0.0917 0.3737  2 Cd 2.95-3.10, 2 In 3.16-3.17
Cd1 0.5000 0.4735 0.3014  3 In 2.95-3.10, 2 Na 3.17
In5 0.5000 0.4083 0.8737  2 Cd 2.95-3.10, 2 In 3.16-3.17
Cd2 0.5000 0.0265 0.8014  3 In 2.95-3.10, 2 Na 3.17
In6 0.5000 0.7066 0.4536  1 Cd 3.01, 2 In 3.16-3.17
Na5 0.0000 0.0000 0.5000  4 Na 3.25-3.57, 8 In 3.31-3.44
Na6 0.0000 0.3907 0.4146  2 Cd 3.17, 3 Na 3.20-3.49, 6 In 3.37-3.52
Na7 0.0000 0.1093 0.9146  2 Cd 3.17, 3 Na 3.20-3.49, 6 In 3.37-3.52
Na8 0.0000 0.2138 0.6984  4 Cd 3.33-3.45, 3 Na 3.49-3.57, 4 In 3.56-3.61
Cd3 0.5000 0.5265 0.6986  3 In 2.95-3.10, 2 Na 3.17
Na9 0.0000 0.6093 0.5854  2 Cd 3.17, 3 Na 3.20-3.49, 6 In 3.37-3.52
In7 0.5000 0.5917 0.1263  2 Cd 2.95-3.10, 2 In 3.16-3.17
In8 0.5000 0.2066 0.0464  1 Cd 3.01, 2 In 3.16-3.17
Na10 0.0000 0.7862 0.3016  4 Cd 3.33-3.45, 3 Na 3.49-3.57, 4 In 3.56-3.61
Cd4 0.5000 0.9735 0.1986  3 In 2.95-3.10, 2 Na 3.17